A plane-wave DFT calculation with GGA-PBE was carried out for a relaxed structure of MnHgHN2.

```
MnHgHN2
1.0
4.2239 0.0000 0.0000
0.0000 4.2239 0.0000
0.0000 0.0000 5.4973
Mn Hg H N
1 1 1 2
Direct
0.0000 0.0000 0.0000 Mn
0.0000 0.0000 0.5000 Hg
0.5000 0.5000 0.0000 H
0.0000 0.5000 0.5000 N
0.5000 0.0000 0.5000 N
```

Computed properties:
Space group: P4/mmm (123)
DFT total energy (eV for the cell shown): -17.251
M_tot (μB per formula unit): 1.904

A plane-wave DFT calculation with GGA-PBE was carried out for a relaxed structure of Tb3Pm5Ho4.

```
Tb3Pm5Ho4
1.0
6.2090 0.0000 0.0000
-0.0118 7.1694 0.0000
-0.0120 -0.0120 8.7753
Tb Pm Ho
3 5 4
Direct
0.0000 0.0000 0.0000 Tb
0.1663 0.7485 0.6651 Tb
0.8337 0.2515 0.3349 Tb
0.0000 0.5000 0.0000 Pm
0.3319 0.0002 0.3349 Pm
0.4996 0.2511 0.0000 Pm
0.5004 0.7489 0.0000 Pm
0.6681 0.9998 0.6651 Pm
0.1665 0.2516 0.6650 Ho
0.3341 0.5000 0.3356 Ho
0.6659 0.5000 0.6644 Ho
0.8335 0.7484 0.3350 Ho
```

Computed properties:
Space group: P-1 (2)
Relative energy among the computed polymorphs (eV per atom): 0.0000
Energy of formation from the pure elements (kJ/mol of formula units): 17
DFT total energy (eV for the cell shown): -55.777
M_tot (μB per formula unit): 0.000

A plane-wave DFT calculation with GGA-PBE was carried out for a relaxed structure of Dy5As4P.

```
Dy5As4P
1.0
-4.5804 4.5804 2.8975
4.5804 -4.5804 2.8975
4.5804 4.5804 -2.8975
Dy As P
5 4 1
Direct
0.0000 0.0000 0.0000 Dy
0.2044 0.5986 0.8030 Dy
0.4014 0.2044 0.6059 Dy
0.5986 0.7956 0.3941 Dy
0.7956 0.4014 0.1970 Dy
0.0989 0.3002 0.3991 As
0.3002 0.9011 0.2013 As
0.6998 0.0989 0.7987 As
0.9011 0.6998 0.6009 As
0.5000 0.5000 0.0000 P
```

Computed properties:
Space group: I4/m (87)
Energy of formation from the pure elements (kJ/mol of formula units): -1495
DFT total energy (eV for the cell shown): -62.517
M_tot (μB per formula unit): 0.000